Here is a relaxed Cs2CrAs2O6 crystal from Alexandria via LeMat-Bulk. Energies are from GGA+U.

The density of states at the Fermi level comes out at 0.7 states/eV/f.u. Its electronic total energy is -63.936 eV for the cell shown.

abc: 5.9244 5.9244 7.1925
angles: 65.68 65.68 60.00
With the nearest neighbours (Å) after each atom.
Sites, in units of the cell vectors:
Cs 0.7817 0.7817 0.6548  9 O 3.12-3.42, 3 As 3.46
Cs 0.2183 0.2183 0.3452  9 O 3.12-3.42, 3 As 3.46
Cr 0.0000 0.0000 0.0000  6 O 2.10
As 0.4218 0.4218 0.7347  3 O 1.76
As 0.5782 0.5782 0.2653  3 O 1.76
O 0.7686 0.7686 0.1880  1 As 1.76
O 0.2747 0.7686 0.1880  1 As 1.76
O 0.7686 0.2747 0.1880  1 As 1.76
O 0.2314 0.7253 0.8120  1 As 1.76
O 0.7253 0.2314 0.8120  1 As 1.76
O 0.2314 0.2314 0.8120  1 As 1.76